No. 1
Material: LaNd12Y7
Method: DFT, GGA-PBE
State: optimized geometry

* crystal system: trigonal
* formation enthalpy at 0 K: 0.151 eV per atom
* mass density: 5946 kg/m³
* ΔE to the lowest computed polymorph: 0.0 meV per atom
* total magnetization: 0.001 Bohr magnetons per cell

abc: 15.3982 15.3982 10.1690
angles: 90.00 90.00 120.00
Closest atoms and distances in Å follow each position.
Space group R-3 (No. 148, hexagonal axes)
Symmetry-distinct sites (fractional):
1 La 0.0000 0.0000 0.0000 x3  6 Y 3.49, 6 Nd 3.81
2 Nd 0.0441 0.7964 0.5760 x18  2 Nd 3.36-3.54, 4 Y 3.39-3.61
3 Nd 0.0452 0.8451 0.2542 x18  2 Nd 3.36-3.54, 5 Y 3.39-3.75
4 Y 0.0000 0.0000 0.5000 x3  12 Nd 3.61-3.75
5 Y 0.0657 0.8187 0.9267 x18  7 Nd 3.39-3.74, 3 Y 3.48-3.72, 1 La 3.49

=====

No. 2
Material: La2Nd3Y2
Method: DFT, GGA-PBE
State: optimized geometry

* crystal system: monoclinic
* formation enthalpy at 0 K: 0.110 eV per atom
* mass density: 5975 kg/m³
* ΔE to the lowest computed polymorph: 100.0 meV per atom
* total magnetization: 0.000 Bohr magnetons per cell

abc: 18.0150 3.5821 8.7366
angles: 90.00 118.87 90.00
Closest atoms and distances in Å follow each position.
Space group C2/m (No. 12)
Symmetry-distinct sites (fractional):
1 La 0.0648 0.0000 0.4123 x4  3 La 3.35-3.58, 5 Nd 3.56-3.74, 2 Y 3.73
2 Nd 0.0000 0.5000 0.0000 x2  4 Nd 3.44-3.58, 2 Y 3.60, 4 La 3.67
3 Nd 0.2130 0.5000 0.2959 x4  5 Nd 3.44-3.62, 3 La 3.56-3.74, 3 Y 3.59-3.67
4 Y 0.1501 0.5000 0.8389 x4  4 Y 3.58-3.78, 4 Nd 3.59-3.67, 4 La 3.73-3.85

=====

No. 3
Material: La7Nd2Y2
Method: DFT, GGA-PBE
State: optimized geometry

* crystal system: monoclinic
* formation enthalpy at 0 K: 0.110 eV per atom
* mass density: 6032 kg/m³
* ΔE to the lowest computed polymorph: 0.0 meV per atom
* total magnetization: 0.000 Bohr magnetons per cell

abc: 11.7176 11.6410 6.2503
angles: 90.00 111.72 90.00
Closest atoms and distances in Å follow each position.
Space group C2/m (No. 12)
Symmetry-distinct sites (fractional):
1 La 0.0000 0.0000 0.0000 x2  4 La 3.37, 2 Nd 3.69
2 La 0.0755 0.5000 0.8032 x4  6 La 3.52-3.87, 2 Nd 3.61-3.77, 2 Y 3.79
3 La 0.1843 0.2311 0.1783 x8  2 La 3.17-3.37, 1 Nd 3.43, 1 Y 3.46
4 Nd 0.2297 0.0000 0.5940 x4  7 La 3.43-3.77, 2 Y 3.54
5 Y 0.0000 0.2125 0.5000 x4  6 La 3.46-3.79, 2 Nd 3.54

=====

No. 4
Material: LaNd5Y6
Method: DFT, GGA-PBE
State: optimized geometry

* crystal system: monoclinic
* formation enthalpy at 0 K: 0.012 eV per atom
* mass density: 5722 kg/m³
* ΔE to the lowest computed polymorph: 4.3 meV per atom
* total magnetization: 0.000 Bohr magnetons per cell

abc: 11.9467 10.9145 6.3021
angles: 90.00 100.19 90.00
Closest atoms and distances in Å follow each position.
Space group C2/m (No. 12)
Symmetry-distinct sites (fractional):
1 La 0.0000 0.0000 0.0000 x2  6 Y 3.62, 6 Nd 3.64
2 Nd 0.0000 0.1676 0.5000 x4  6 Y 3.60-3.62, 4 Nd 3.63-3.66, 2 La 3.64
3 Nd 0.0000 0.3339 0.0000 x4  6 Y 3.61-3.62, 5 Nd 3.63-3.64, 1 La 3.64
4 Nd 0.0000 0.5000 0.5000 x2  6 Y 3.61, 6 Nd 3.63-3.64
5 Y 0.2502 0.0000 0.7490 x4  5 Nd 3.61-3.62, 1 La 3.62, 6 Y 3.64
6 Y 0.2505 0.1669 0.2497 x8  5 Nd 3.60-3.62, 1 La 3.62, 6 Y 3.63-3.64

=====

No. 5
Material: LaNdY5
Method: DFT, GGA-PBE
State: optimized geometry

* crystal system: monoclinic
* formation enthalpy at 0 K: 0.096 eV per atom
* mass density: 5078 kg/m³
* ΔE to the lowest computed polymorph: 0.0 meV per atom
* total magnetization: 0.000 Bohr magnetons per cell

abc: 8.9194 9.7915 11.6892
angles: 90.00 111.20 90.00
Closest atoms and distances in Å follow each position.
Space group C2/c (No. 15)
Symmetry-distinct sites (fractional):
1 La 0.0000 0.2417 0.2500 x4  9 Y 3.40-3.65
2 Nd 0.2500 0.2500 0.0000 x4  6 Y 3.35-3.63
3 Y 0.0000 0.4096 0.7500 x4  2 Nd 3.35, 8 Y 3.36-3.75, 1 La 3.41
4 Y 0.1217 0.0704 0.6628 x8  6 Y 3.47-3.75, 2 La 3.52-3.65, 1 Nd 3.63
5 Y 0.1699 0.4003 0.5358 x8  7 Y 3.36-3.73, 2 La 3.40-3.49, 1 Nd 3.55

=====

No. 6
Material: LaNdY2
Method: DFT, GGA-PBE
State: optimized geometry

* crystal system: trigonal
* formation enthalpy at 0 K: 0.008 eV per atom
* mass density: 5636 kg/m³
* ΔE to the lowest computed polymorph: 0.0 meV per atom
* total magnetization: 0.000 Bohr magnetons per cell

abc: 3.6522 3.6522 35.2720
angles: 90.00 90.00 120.00
Closest atoms and distances in Å follow each position.
Space group R-3m (No. 166, hexagonal axes)
Symmetry-distinct sites (fractional):
1 La 0.0000 0.0000 0.0000 x3  6 Y 3.64, 6 La 3.65
2 Nd 0.0000 0.0000 0.5000 x3  6 Y 3.60, 6 Nd 3.65
3 Y 0.0000 0.0000 0.2494 x6  3 Nd 3.60, 3 La 3.64, 6 Y 3.65

=====

No. 7
Material: La2Nd3Y5
Method: DFT, GGA-PBE
State: optimized geometry

* crystal system: orthorhombic
* formation enthalpy at 0 K: 0.267 eV per atom
* mass density: 5494 kg/m³
* ΔE to the lowest computed polymorph: 103.6 meV per atom
* total magnetization: 0.000 Bohr magnetons per cell

abc: 12.2721 17.4426 6.5234
angles: 90.00 90.00 90.00
Closest atoms and distances in Å follow each position.
Space group Ibam (No. 72)
Symmetry-distinct sites (fractional):
1 La 0.0846 0.1701 0.0000 x8  1 Nd 3.41, 3 Y 3.54-3.61
2 Nd 0.0000 0.5000 0.2500 x4  2 Y 3.10, 2 Nd 3.26
3 Nd 0.2364 0.3338 0.0000 x8  5 Y 3.33-3.69, 1 La 3.41
4 Y 0.0000 0.0000 0.2500 x4  4 Y 3.04-3.26
5 Y 0.0959 0.3335 0.5000 x8  5 Nd 3.53-3.69, 2 La 3.61-3.92, 2 Y 3.84
6 Y 0.2476 0.0000 0.2500 x8  3 Y 3.04-3.26, 3 Nd 3.10-3.33

=====

No. 8
Material: La4Nd7Y
Method: DFT, GGA-PBE
State: optimized geometry

* crystal system: monoclinic
* formation enthalpy at 0 K: 0.225 eV per atom
* mass density: 6212 kg/m³
* ΔE to the lowest computed polymorph: 207.5 meV per atom
* total magnetization: 0.001 Bohr magnetons per cell

abc: 12.2894 6.1691 13.1250
angles: 90.00 117.28 90.00
Closest atoms and distances in Å follow each position.
Space group C2/m (No. 12)
Symmetry-distinct sites (fractional):
1 La 0.0577 0.0000 0.3302 x4  5 Nd 3.39-3.73, 2 La 3.77
2 La 0.1382 0.5000 0.7785 x4  7 Nd 3.49-3.81, 2 La 3.77
3 Nd 0.0000 0.0000 0.0000 x2  2 Y 3.08, 2 Nd 3.16
4 Nd 0.1347 0.5000 0.5023 x4  2 Nd 3.28-3.34, 3 La 3.39-3.67
5 Nd 0.2088 0.0000 0.9226 x4  2 Nd 3.16-3.39, 1 Y 3.24, 4 La 3.43-3.51
6 Nd 0.2470 0.5000 0.3138 x4  2 Nd 3.34-3.39, 1 La 3.73
7 Y 0.0000 0.5000 0.0000 x2  4 Nd 3.08-3.24